32
Lattice="5.817 -4.267 0.000 5.817 4.267 0.000 -3.571 0.000 8.074" Properties=species:S:1:pos:R:3 comment="Cr2P3O11 PBE+U optimized geometry" final_energy_ev_per_atom=-7.396 sg="C2/c (15)" pbc="T T T"
Cr 0.925 2.213 7.748
Cr 5.352 2.213 4.364
Cr 2.711 -2.213 3.711
Cr 7.137 -2.213 0.326
P 3.139 3.909 6.056
P 3.511 0.557 2.339
P 1.726 -0.557 6.376
P 6.337 0.557 1.698
P 4.551 -0.557 5.735
P 4.924 -3.909 2.019
O -2.368 0.460 7.309
O 1.915 2.993 6.310
O -0.583 -0.460 3.272
O 3.149 1.358 1.038
O 4.362 2.993 5.802
O 0.734 0.554 6.639
O 3.738 1.508 3.508
O 6.110 1.508 0.530
O 2.519 -0.554 2.602
O 1.363 -1.358 5.075
O 3.139 0.146 6.056
O 4.924 -0.146 2.019
O 6.699 1.358 3.000
O 5.543 0.554 5.472
O 1.952 -1.508 7.545
O 4.325 -1.508 4.567
O 7.329 -0.554 1.435
O 3.701 -2.993 2.273
O 4.914 -1.358 7.037
O 8.645 0.460 4.803
O 6.147 -2.993 1.764
O 10.431 -0.460 0.765